Run i
GGA-PBE CsI3Br, optimized geometry; SG = Pm-3m (221); total moment = 3.000 μB/cell
1.0
7.543 0.000 0.000
0.000 7.543 0.000
0.000 0.000 7.543
Cs I Br
1 3 1
direct
0.000 0.000 0.000 Cs
0.000 0.000 0.500 I
0.000 0.500 0.000 I
0.500 0.000 0.000 I
0.500 0.500 0.500 Br



Run ii
GGA-PBE CsI3Br, optimized geometry; SG = I4/mmm (139); total moment = 0.000 μB/cell
1.0
-4.404 4.404 6.376
4.404 -4.404 6.376
4.404 4.404 -6.376
Cs I Br
2 6 2
direct
0.250 0.750 0.500 Cs
0.750 0.250 0.500 Cs
0.218 0.218 0.000 I
0.272 0.272 0.543 I
0.272 0.728 0.000 I
0.728 0.272 0.000 I
0.728 0.728 0.457 I
0.782 0.782 0.000 I
0.000 0.000 0.000 Br
0.500 0.500 0.000 Br



run ii comes first in stability; the runner-up is 646 meV/atom higher.



Run i
GGA-PBE Cs2IBr6, optimized geometry; SG = Fm-3m (225); total moment = 0.000 μB/cell
1.0
0.000 5.582 5.582
5.582 0.000 5.582
5.582 5.582 0.000
Cs I Br
2 1 6
direct
0.250 0.250 0.250 Cs
0.750 0.750 0.750 Cs
0.000 0.000 0.000 I
0.254 0.254 0.746 Br
0.254 0.746 0.254 Br
0.254 0.746 0.746 Br
0.746 0.254 0.254 Br
0.746 0.254 0.746 Br
0.746 0.746 0.254 Br



Run ii
GGA-PBE Cs2IBr6, optimized geometry; SG = P2_1/c (14); total moment = 1.915 μB/cell
1.0
8.109 0.000 0.000
0.000 8.090 0.000
-8.100 0.000 11.052
Cs I Br
4 2 12
direct
0.249 0.000 0.249 Cs
0.249 0.500 0.749 Cs
0.751 0.000 0.751 Cs
0.751 0.500 0.251 Cs
0.500 0.000 0.000 I
0.500 0.500 0.500 I
0.223 0.226 0.499 Br
0.223 0.274 0.999 Br
0.258 0.000 0.756 Br
0.258 0.500 0.256 Br
0.264 0.738 0.499 Br
0.264 0.762 0.999 Br
0.736 0.238 0.001 Br
0.736 0.262 0.501 Br
0.742 0.000 0.244 Br
0.742 0.500 0.744 Br
0.777 0.726 0.001 Br
0.777 0.774 0.501 Br



run ii comes first in stability; the runner-up is 19 meV/atom higher.



Run i
GGA-PBE Cs2I2Br, optimized geometry; SG = Cmc2_1 (36); total moment = 2.014 μB/cell
1.0
2.453 -10.026 0.000
2.453 10.026 0.000
0.000 0.000 11.046
Cs I Br
4 4 2
direct
0.000 0.000 0.000 Cs
0.000 0.000 0.500 Cs
0.181 0.819 0.779 Cs
0.819 0.181 0.279 Cs
0.195 0.805 0.429 I
0.339 0.661 0.571 I
0.661 0.339 0.071 I
0.805 0.195 0.929 I
0.458 0.542 0.241 Br
0.542 0.458 0.741 Br



Run ii
GGA-PBE Cs2I2Br, optimized geometry; SG = I4/mmm (139); total moment = 0.000 μB/cell
1.0
-2.531 2.531 9.933
2.531 -2.531 9.933
2.531 2.531 -9.933
Cs I Br
2 2 1
direct
0.103 0.103 0.000 Cs
0.897 0.897 0.000 Cs
0.250 0.750 0.500 I
0.750 0.250 0.500 I
0.500 0.500 0.000 Br



run i comes first in stability; the runner-up is 39 meV/atom higher.



Run i
GGA-PBE Cs2IBr4, optimized geometry; SG = I4/mmm (139); total moment = 1.010 μB/cell
1.0
-2.946 2.946 9.422
2.946 -2.946 9.422
2.946 2.946 -9.422
Cs I Br
2 1 4
direct
0.139 0.139 0.000 Cs
0.861 0.861 0.000 Cs
0.500 0.500 0.000 I
0.000 0.500 0.500 Br
0.330 0.330 0.000 Br
0.500 0.000 0.500 Br
0.670 0.670 0.000 Br



Run ii
GGA-PBE Cs2IBr4, optimized geometry; SG = I4/mmm (139); total moment = 0.002 μB/cell
1.0
-4.037 4.037 4.938
4.037 -4.037 4.938
4.037 4.037 -4.938
Cs I Br
2 1 4
direct
0.250 0.750 0.500 Cs
0.750 0.250 0.500 Cs
0.000 0.000 0.000 I
0.258 0.258 0.516 Br
0.258 0.742 0.000 Br
0.742 0.258 0.000 Br
0.742 0.742 0.484 Br



run ii comes first in stability; the runner-up is 23 meV/atom higher.